(1)
# HfTi2Os (PBE, relaxed)
data_HfTi2Os
_cell_length_a 7.397
_cell_length_b 7.397
_cell_length_c 5.511
_cell_angle_alpha 90.00
_cell_angle_beta 90.00
_cell_angle_gamma 90.00
_space_group_name_H-M_alt 'I -4 2 d'
_space_group_IT_number 122
_space_group_name_Hall 'I -4 2bw'
loop_
_atom_site_label
_atom_site_fract_x
_atom_site_fract_y
_atom_site_fract_z
_atom_site_occupancy
Hf1 0.000 0.000 0.000 1
Ti1 0.200 0.250 0.625 1
Os1 0.000 0.000 0.500 1
# Density of states at the Fermi level = 10.5 states/eV/cell
# Calculated total energy = -146.4 eV per cell
# Formation energy from the elements = 0.093 eV per atom
# Crystal system = tetragonal

***

(2)
# GdGa2Ge (PBE, relaxed)
data_GdGa2Ge
_cell_length_a 4.233
_cell_length_b 4.233
_cell_length_c 4.466
_cell_angle_alpha 90.00
_cell_angle_beta 90.00
_cell_angle_gamma 90.00
_space_group_name_H-M_alt 'P 4/m m m'
_space_group_IT_number 123
_space_group_name_Hall '-P 4 2'
loop_
_atom_site_label
_atom_site_fract_x
_atom_site_fract_y
_atom_site_fract_z
_atom_site_occupancy
Gd1 0.000 0.000 0.000 1
Ga1 0.000 0.500 0.500 1
Ge1 0.500 0.500 0.000 1
# Density of states at the Fermi level = 1.9 states/eV/cell
# Calculated total energy = -26.8 eV per cell
# Formation energy from the elements = -0.514 eV per atom
# Crystal system = tetragonal

***

no.,offset from the most stable computed form (eV per atom),theoretical density (Mg/m³)
1,0.4936,10.2
2,0.0000,7.7